[1]
# PBE-GGA YTa2Cd, relaxed
# final energy: -7.369 eV/atom
# energy relative to the elements: 402 meV/atom
data_YTa2Cd
_symmetry_space_group_name_H-M 'I m m 2'
_symmetry_Int_Tables_number 44
_cell_length_a 3.364
_cell_length_b 5.284
_cell_length_c 9.909
_cell_angle_alpha 90.00
_cell_angle_beta 90.00
_cell_angle_gamma 90.00
loop_
_symmetry_equiv_pos_as_xyz
'x,y,z'
'-x,-y,z'
'-x,y,z'
'x,-y,z'
'x+1/2,y+1/2,z+1/2'
'-x+1/2,-y+1/2,z+1/2'
'-x+1/2,y+1/2,z+1/2'
'x+1/2,-y+1/2,z+1/2'
loop_
_atom_site_label
_atom_site_type_symbol
_atom_site_fract_x
_atom_site_fract_y
_atom_site_fract_z
_atom_site_occupancy
Y1 Y 0.000 0.000 0.000 1
Ta1 Ta 0.000 0.000 0.528 1
Ta2 Ta 0.000 0.500 0.236 1
Cd1 Cd 0.000 0.500 0.774 1

[2]
# PBE-GGA Tl2ReBr, relaxed
# final energy: -3.612 eV/atom
# formation energy without anion corrections: 1.1017 eV per atom
# energy relative to the lowest polymorph listed for this composition: 491 meV per atom
data_Tl2ReBr
_symmetry_space_group_name_H-M 'F m -3 m'
_symmetry_Int_Tables_number 225
_symmetry_space_group_name_Hall '-F 4 2 3'
_cell_length_a 7.603
_cell_length_b 7.603
_cell_length_c 7.603
_cell_angle_alpha 90.00
_cell_angle_beta 90.00
_cell_angle_gamma 90.00
loop_
_atom_site_label
_atom_site_type_symbol
_atom_site_fract_x
_atom_site_fract_y
_atom_site_fract_z
_atom_site_occupancy
Tl1 Tl 0.250 0.250 0.250 1
Re1 Re 0.000 0.000 0.000 1
Br1 Br 0.000 0.000 0.500 1

[3]
# PBE-GGA GaHgP3, relaxed
# final energy: -2.956 eV/atom
# energy relative to the lowest polymorph listed for this composition: 0 meV per atom
# energy relative to the elements: 956 meV/atom
data_GaHgP3
_symmetry_space_group_name_H-M 'P m -3 m'
_symmetry_Int_Tables_number 221
_symmetry_space_group_name_Hall '-P 4 2 3'
_cell_length_a 4.748
_cell_length_b 4.748
_cell_length_c 4.748
_cell_angle_alpha 90.00
_cell_angle_beta 90.00
_cell_angle_gamma 90.00
loop_
_atom_site_label
_atom_site_type_symbol
_atom_site_fract_x
_atom_site_fract_y
_atom_site_fract_z
_atom_site_occupancy
Ga1 Ga 0.000 0.000 0.000 1
Hg1 Hg 0.500 0.500 0.500 1
P1 P 0.000 0.000 0.500 1

[4]
# PBE-GGA CeNbReSi2, relaxed
# final energy: -8.404 eV/atom
# formation energy without anion corrections: -0.5446 eV per atom
data_CeNbReSi2
_symmetry_space_group_name_H-M 'I -4 m 2'
_symmetry_Int_Tables_number 119
_symmetry_space_group_name_Hall 'I -4 -2'
_cell_length_a 4.040
_cell_length_b 4.040
_cell_length_c 11.257
_cell_angle_alpha 90.00
_cell_angle_beta 90.00
_cell_angle_gamma 90.00
loop_
_atom_site_label
_atom_site_type_symbol
_atom_site_fract_x
_atom_site_fract_y
_atom_site_fract_z
_atom_site_occupancy
Ce1 Ce 0.000 0.000 0.000 1
Nb1 Nb 0.000 0.500 0.750 1
Re1 Re 0.000 0.500 0.250 1
Si1 Si 0.000 0.000 0.392 1

[5]
# PBE-GGA PmNdSnSe, relaxed
# final energy: -5.554 eV/atom
# formation energy without anion corrections: -1.3025 eV per atom
data_PmNdSnSe
_symmetry_space_group_name_H-M 'P 4/m m m'
_symmetry_Int_Tables_number 123
_symmetry_space_group_name_Hall '-P 4 2'
_cell_length_a 4.376
_cell_length_b 4.376
_cell_length_c 6.201
_cell_angle_alpha 90.00
_cell_angle_beta 90.00
_cell_angle_gamma 90.00
loop_
_atom_site_label
_atom_site_type_symbol
_atom_site_fract_x
_atom_site_fract_y
_atom_site_fract_z
_atom_site_occupancy
Pm1 Pm 0.000 0.000 0.000 1
Nd1 Nd 0.500 0.500 0.500 1
Sn1 Sn 0.500 0.500 0.000 1
Se1 Se 0.000 0.000 0.500 1

[6]
# PBE-GGA TaCd2Os, relaxed
# final energy: -5.651 eV/atom
# energy relative to the lowest polymorph listed for this composition: 462 meV per atom
# energy relative to the elements: 577 meV/atom
data_TaCd2Os
_symmetry_space_group_name_H-M 'C m m m'
_symmetry_Int_Tables_number 65
_symmetry_space_group_name_Hall '-C 2 2'
_cell_length_a 3.130
_cell_length_b 4.695
_cell_length_c 9.862
_cell_angle_alpha 90.00
_cell_angle_beta 90.00
_cell_angle_gamma 90.00
loop_
_atom_site_label
_atom_site_type_symbol
_atom_site_fract_x
_atom_site_fract_y
_atom_site_fract_z
_atom_site_occupancy
Ta1 Ta 0.000 0.000 0.000 1
Cd1 Cd 0.000 0.500 0.259 1
Os1 Os 0.000 0.000 0.500 1

[7]
# PBE-GGA Pr8TeSe6, relaxed
# final energy: -5.612 eV/atom
# formation energy without anion corrections: -1.4593 eV per atom
data_Pr8TeSe6
_symmetry_space_group_name_H-M 'P -3'
_symmetry_Int_Tables_number 147
_cell_length_a 10.9000
_cell_length_b 10.9000
_cell_length_c 4.3278
_cell_angle_alpha 90.00
_cell_angle_beta 90.00
_cell_angle_gamma 120.00
loop_
_symmetry_equiv_pos_as_xyz
'x,y,z'
'-x,-y,-z'
'-y,x-y,z'
'y,-x+y,-z'
'-x+y,-x,z'
'x-y,x,-z'
loop_
_atom_site_label
_atom_site_type_symbol
_atom_site_fract_x
_atom_site_fract_y
_atom_site_fract_z
_atom_site_occupancy
Pr1 Pr 0.0356 0.3280 0.2411 1
Pr2 Pr 0.3333 0.6667 0.7534 1
Te1 Te 0.0000 0.0000 0.0000 1
Se1 Se 0.1310 0.6485 0.2541 1

[8]
# PBE-GGA Ca2Ni, relaxed
# final energy: -2.475 eV/atom
# energy relative to the elements: 787 meV/atom
data_Ca2Ni
_symmetry_space_group_name_H-M 'P 63/m m c'
_symmetry_Int_Tables_number 194
_symmetry_space_group_name_Hall '-P 6c 2c'
_cell_length_a 6.8447
_cell_length_b 6.8447
_cell_length_c 11.6881
_cell_angle_alpha 90.00
_cell_angle_beta 90.00
_cell_angle_gamma 120.00
loop_
_atom_site_label
_atom_site_type_symbol
_atom_site_fract_x
_atom_site_fract_y
_atom_site_fract_z
_atom_site_occupancy
Ca1 Ca 0.0000 0.0000 0.0000 1
Ca2 Ca 0.1769 0.3537 0.2500 1
Ni1 Ni 0.3333 0.6667 0.0724 1